Compound: VGaF3
Source: Alexandria via LeMat-Bulk
Functional: PBE with a Hubbard U
Structure: optimized geometry

Lattice parameters (Å, degrees): 4.208 4.208 4.208 90.00 90.00 90.00
Sites, in units of the cell vectors:
V 0.000 0.000 0.000
Ga 0.500 0.500 0.500
F 0.000 0.000 0.500
F 0.000 0.500 0.000
F 0.500 0.000 0.000

E above lowest polymorph: 0 meV per atom